Here is an optimized crystal structure of SiOsCN from the Alexandria database. Energies are from GGA-PBE.

- Symmetry: P3m1
- Distance to the lowest polymorph of the same formula: 15 meV/atom
- Fermi-level density of states: 0.88 states/eV per cell

Geometry as POSCAR:
```
SiOsCN
1.0
2.8424 0.0000 0.0000
-1.4212 2.4616 0.0000
0.0000 0.0000 5.6842
Si Os C N
1 1 1 1
Direct
0.0000 0.0000 0.0000
0.3333 0.6667 0.6396
0.6667 0.3333 0.4199
0.6667 0.3333 0.1695
```


Here is an optimized crystal structure of SiOsCN from the Alexandria database. Energies are from GGA-PBE.

- Symmetry: Pmm2
- Distance to the lowest polymorph of the same formula: 220 meV/atom
- Fermi-level density of states: 1.77 states/eV per cell

Geometry as POSCAR:
```
SiOsCN
1.0
2.8808 0.0000 0.0000
0.0000 2.9368 0.0000
0.0000 0.0000 5.1071
Si Os C N
1 1 1 1
Direct
0.0000 0.0000 0.0000
0.5000 0.5000 0.5013
0.0000 0.5000 0.7872
0.5000 0.0000 0.2058
```


Here is an optimized crystal structure of SiOsCN from the Alexandria database. Energies are from GGA-PBE.

- Symmetry: R3m
- Distance to the lowest polymorph of the same formula: 105 meV/atom
- Fermi-level density of states: 1.31 states/eV per cell

Geometry as POSCAR:
```
SiOsCN
1.0
1.4262 0.8234 5.5447
-1.4262 0.8234 5.5447
0.0000 -1.6469 5.5447
Si Os C N
1 1 1 1
Direct
0.0000 0.0000 0.0000
0.8426 0.8426 0.8426
0.2516 0.2516 0.2516
0.7143 0.7143 0.7143
```


Here is an optimized crystal structure of SiOsCN from the Alexandria database. Energies are from GGA-PBE.

- Symmetry: Pm
- Distance to the lowest polymorph of the same formula: 518 meV/atom
- Fermi-level density of states: 2.43 states/eV per cell

Geometry as POSCAR:
```
SiOsCN
1.0
3.6172 0.0000 0.0000
0.0000 2.9683 0.0000
-0.5094 0.0000 4.7490
Si Os C N
1 1 1 1
Direct
0.0000 0.0000 0.0000
0.7465 0.5000 0.3721
0.2472 0.5000 0.1511
0.8210 0.0000 0.6507
```


Here is an optimized crystal structure of SiOsCN from the Alexandria database. Energies are from GGA-PBE.

- Symmetry: P1
- Distance to the lowest polymorph of the same formula: 554 meV/atom
- Fermi-level density of states: 2.02 states/eV per cell

Geometry as POSCAR:
```
SiOsCN
1.0
2.9436 0.0000 0.0000
0.1155 3.3314 0.0000
1.1215 1.3063 4.7832
Si Os C N
1 1 1 1
Direct
0.0000 0.0000 0.0000
0.2570 0.5450 0.4217
0.1404 0.9585 0.6276
0.4608 0.2055 0.0861
```


Here is an optimized crystal structure of Sr3OsC2N6 from the Alexandria database. Energies are from GGA-PBE.

- Symmetry: P-3m1
- Fermi-level density of states: 2.83 states/eV per cell

Geometry as POSCAR:
```
Sr3OsC2N6
1.0
5.3509 0.0000 0.0000
-2.6754 4.6340 0.0000
0.0000 0.0000 6.3948
Sr Os C N
3 1 2 6
Direct
0.0000 0.0000 0.0000
0.3333 0.6667 0.7042
0.6667 0.3333 0.2958
0.0000 0.0000 0.5000
0.3333 0.6667 0.3020
0.6667 0.3333 0.6980
0.1847 0.3695 0.2976
0.1847 0.8153 0.2976
0.3695 0.1847 0.7024
0.6305 0.8153 0.2976
0.8153 0.1847 0.7024
0.8153 0.6305 0.7024
```


Here is an optimized crystal structure of Th4OsC2N from the Alexandria database. Energies are from GGA-PBE.

- Symmetry: P2/m
- Fermi-level density of states: 3.48 states/eV per cell

Geometry as POSCAR:
```
Th4OsC2N
1.0
6.6808 0.0000 0.0000
0.0000 3.8497 0.0000
-2.1508 0.0000 6.3403
Th Os C N
4 1 2 1
Direct
0.2348 0.0000 0.2362
0.2475 0.5000 0.7554
0.7525 0.5000 0.2446
0.7652 0.0000 0.7638
0.5000 0.5000 0.5000
0.0000 0.5000 0.0000
0.5000 0.0000 0.0000
0.0000 0.0000 0.5000
```


Here is an optimized crystal structure of Th8Os3C3N from the Alexandria database. Energies are from GGA-PBE.

- Symmetry: C2/m
- Fermi-level density of states: 12.50 states/eV per cell

Geometry as POSCAR:
```
Th8Os3C3N
1.0
6.6640 -3.8404 0.0000
6.6640 3.8404 0.0000
-4.4378 0.0000 6.6818
Th Os C N
8 3 3 1
Direct
0.2396 0.2396 0.7251
0.2397 0.7465 0.7255
0.2535 0.7603 0.2745
0.2585 0.2585 0.2760
0.7415 0.7415 0.7240
0.7465 0.2397 0.7255
0.7603 0.2535 0.2745
0.7604 0.7604 0.2749
0.0000 0.0000 0.0000
0.0000 0.5000 0.0000
0.5000 0.0000 0.0000
0.0000 0.5000 0.5000
0.5000 0.0000 0.5000
0.5000 0.5000 0.5000
0.0000 0.0000 0.5000
```


Here is an optimized crystal structure of ZnOs2CN from the Alexandria database. Energies are from GGA-PBE.

- Symmetry: P4/mmm
- Fermi-level density of states: 4.39 states/eV per cell

Geometry as POSCAR:
```
ZnOs2CN
1.0
3.9626 0.0000 0.0000
0.0000 3.9626 0.0000
0.0000 0.0000 4.0161
Zn Os C N
1 2 1 1
Direct
0.0000 0.0000 0.0000
0.0000 0.5000 0.5000
0.5000 0.0000 0.5000
0.5000 0.5000 0.0000
0.5000 0.5000 0.5000
```


Here is an optimized crystal structure of Pa4PC2N from the Alexandria database. Energies are from GGA-PBE.

- Symmetry: P2/m
- Fermi-level density of states: 6.30 states/eV per cell

Geometry as POSCAR:
```
Pa4PC2N
1.0
6.3709 0.0000 0.0000
0.0000 3.6719 0.0000
-2.1219 0.0000 6.0108
Pa P C N
4 1 2 1
Direct
0.2306 0.0000 0.2321
0.2404 0.5000 0.7593
0.7596 0.5000 0.2407
0.7694 0.0000 0.7679
0.5000 0.5000 0.5000
0.0000 0.5000 0.0000
0.5000 0.0000 0.0000
0.0000 0.0000 0.5000
```


Here is an optimized crystal structure of PPdCN2 from the Alexandria database. Energies are from GGA-PBE.

- Symmetry: P4/mmm
- Fermi-level density of states: 3.34 states/eV per cell

Geometry as POSCAR:
```
PPdCN2
1.0
3.8079 0.0000 0.0000
0.0000 3.8079 0.0000
0.0000 0.0000 5.1329
P Pd C N
1 1 1 2
Direct
0.0000 0.0000 0.0000
0.0000 0.0000 0.5000
0.5000 0.5000 0.0000
0.0000 0.5000 0.5000
0.5000 0.0000 0.5000
```


Here is an optimized crystal structure of ReP2CN from the Alexandria database. Energies are from GGA-PBE.

- Symmetry: P4/mmm
- Fermi-level density of states: 3.47 states/eV per cell

Geometry as POSCAR:
```
ReP2CN
1.0
4.7068 0.0000 0.0000
0.0000 4.7068 0.0000
0.0000 0.0000 3.7257
Re P C N
1 2 1 1
Direct
0.0000 0.0000 0.0000
0.0000 0.5000 0.0000
0.5000 0.0000 0.0000
0.5000 0.5000 0.5000
0.0000 0.0000 0.5000
```


Here is an optimized crystal structure of PRuCN from the Alexandria database. Energies are from GGA-PBE.

- Symmetry: Cm
- Distance to the lowest polymorph of the same formula: 373 meV/atom
- Fermi-level density of states: 1.60 states/eV per cell

Geometry as POSCAR:
```
PRuCN
1.0
4.4439 -1.4574 0.0000
4.4439 1.4574 0.0000
-0.3408 0.0000 4.0139
P Ru C N
1 1 1 1
Direct
0.0000 0.0000 0.0000
0.2523 0.2523 0.1328
0.4163 0.4163 0.7850
0.2795 0.2795 0.6138
```


Here is an optimized crystal structure of PRuCN from the Alexandria database. Energies are from GGA-PBE.

- Symmetry: R3m
- Distance to the lowest polymorph of the same formula: 378 meV/atom
- Fermi-level density of states: 1.45 states/eV per cell

Geometry as POSCAR:
```
PRuCN
1.0
1.5987 0.9230 5.3800
-1.5987 0.9230 5.3800
0.0000 -1.8461 5.3800
P Ru C N
1 1 1 1
Direct
0.0000 0.0000 0.0000
0.1512 0.1512 0.1512
0.2922 0.2922 0.2922
0.4894 0.4894 0.4894
```


Here is an optimized crystal structure of PRuCN from the Alexandria database. Energies are from GGA-PBE.

- Symmetry: Pmm2
- Distance to the lowest polymorph of the same formula: 325 meV/atom
- Fermi-level density of states: 1.29 states/eV per cell

Geometry as POSCAR:
```
PRuCN
1.0
2.6476 0.0000 0.0000
0.0000 2.8688 0.0000
0.0000 0.0000 5.4208
P Ru C N
1 1 1 1
Direct
0.0000 0.0000 0.0000
0.5000 0.0000 0.3338
0.0000 0.5000 0.7739
0.5000 0.5000 0.6182
```


Here is an optimized crystal structure of PRuCN from the Alexandria database. Energies are from GGA-PBE.

- Symmetry: P3m1
- Distance to the lowest polymorph of the same formula: 174 meV/atom
- Fermi-level density of states: 1.63 states/eV per cell

Geometry as POSCAR:
```
PRuCN
1.0
2.9283 0.0000 0.0000
-1.4641 2.5359 0.0000
0.0000 0.0000 5.5832
P Ru C N
1 1 1 1
Direct
0.0000 0.0000 0.0000
0.3333 0.6667 0.5073
0.3333 0.6667 0.8863
0.0000 0.0000 0.3010
```


Here is an optimized crystal structure of PRuCN from the Alexandria database. Energies are from GGA-PBE.

- Symmetry: P1
- Distance to the lowest polymorph of the same formula: 263 meV/atom
- Fermi-level density of states: 0.87 states/eV per cell

Geometry as POSCAR:
```
PRuCN
1.0
2.8785 0.0000 0.0000
-1.4079 3.4793 0.0000
-0.6174 -0.2614 4.4609
P Ru C N
1 1 1 1
Direct
0.0000 0.0000 0.0000
0.7340 0.2102 0.5609
0.4462 0.7900 0.2101
0.2681 0.3997 0.2747
```


Here is an optimized crystal structure of PRuCN from the Alexandria database. Energies are from GGA-PBE.

- Symmetry: P1
- Distance to the lowest polymorph of the same formula: 295 meV/atom
- Fermi-level density of states: 0.14 states/eV per cell

Geometry as POSCAR:
```
PRuCN
1.0
2.8706 0.0000 0.0000
1.0500 3.6852 0.0000
1.0045 0.5775 4.5568
P Ru C N
1 1 1 1
Direct
0.0000 0.0000 0.0000
0.9013 0.8579 0.4983
0.4931 0.2187 0.8220
0.5235 0.4501 0.5652
```


Here is an optimized crystal structure of PRuCN from the Alexandria database. Energies are from GGA-PBE.

- Symmetry: Amm2
- Distance to the lowest polymorph of the same formula: 366 meV/atom
- Fermi-level density of states: 1.19 states/eV per cell

Geometry as POSCAR:
```
PRuCN
1.0
2.8670 0.0000 0.0000
0.0000 1.3635 5.5741
0.0000 -1.3635 5.5741
P Ru C N
1 1 1 1
Direct
0.0000 0.0000 0.0000
0.5000 0.2646 0.2646
0.5000 0.0864 0.0864
0.0000 0.4024 0.4024
```


Here is an optimized crystal structure of PRuCN from the Alexandria database. Energies are from GGA-PBE.

- Symmetry: Amm2
- Distance to the lowest polymorph of the same formula: 0 meV/atom
- Fermi-level density of states: 0.73 states/eV per cell

Geometry as POSCAR:
```
PRuCN
1.0
2.8675 0.0000 0.0000
0.0000 1.6075 5.4162
0.0000 -1.6075 5.4162
P Ru C N
1 1 1 1
Direct
0.0000 0.0000 0.0000
0.0000 0.6465 0.6465
0.5000 0.8954 0.8954
0.5000 0.7774 0.7774
```


Here is an optimized crystal structure of PRuCN from the Alexandria database. Energies are from GGA-PBE.

- Symmetry: Cm
- Distance to the lowest polymorph of the same formula: 47 meV/atom

Geometry as POSCAR:
```
PRuCN
1.0
2.5093 -1.4835 0.0000
2.5093 1.4835 0.0000
-0.4087 0.0000 5.4445
P Ru C N
1 1 1 1
Direct
0.0000 0.0000 0.0000
0.7256 0.7256 0.6262
0.3502 0.3502 0.1649
0.3734 0.3734 0.4238
```


Here is an optimized crystal structure of PRuCN from the Alexandria database. Energies are from GGA-PBE.

- Symmetry: Pm
- Distance to the lowest polymorph of the same formula: 293 meV/atom
- Fermi-level density of states: 1.79 states/eV per cell

Geometry as POSCAR:
```
PRuCN
1.0
3.7143 0.0000 0.0000
0.0000 2.8657 0.0000
-0.5278 0.0000 4.3155
P Ru C N
1 1 1 1
Direct
0.0000 0.0000 0.0000
0.9504 0.5000 0.4047
0.2904 0.0000 0.6879
0.6491 0.0000 0.7055
```


Here is an optimized crystal structure of PRuCN from the Alexandria database. Energies are from GGA-PBE.

- Symmetry: Pmm2
- Distance to the lowest polymorph of the same formula: 140 meV/atom
- Fermi-level density of states: 0.37 states/eV per cell

Geometry as POSCAR:
```
PRuCN
1.0
2.8613 0.0000 0.0000
0.0000 2.9324 0.0000
0.0000 0.0000 4.9329
P Ru C N
1 1 1 1
Direct
0.0000 0.0000 0.0000
0.5000 0.5000 0.5072
0.0000 0.5000 0.8020
0.5000 0.0000 0.2044
```


Here is an optimized crystal structure of PRuCN from the Alexandria database. Energies are from GGA-PBE.

- Symmetry: Cm
- Distance to the lowest polymorph of the same formula: 134 meV/atom
- Fermi-level density of states: 0.79 states/eV per cell

Geometry as POSCAR:
```
PRuCN
1.0
2.5422 -1.4955 0.0000
2.5422 1.4955 0.0000
-1.6307 0.0000 5.4827
P Ru C N
1 1 1 1
Direct
0.0000 0.0000 0.0000
0.4985 0.4985 0.5057
0.6308 0.6308 0.8955
0.0991 0.0991 0.3069
```


Here is an optimized crystal structure of PRuCN from the Alexandria database. Energies are from GGA-PBE.

- Symmetry: Cm
- Distance to the lowest polymorph of the same formula: 82 meV/atom
- Fermi-level density of states: 0.01 states/eV per cell

Geometry as POSCAR:
```
PRuCN
1.0
2.5186 -1.4739 0.0000
2.5186 1.4739 0.0000
-0.5657 0.0000 5.6117
P Ru C N
1 1 1 1
Direct
0.0000 0.0000 0.0000
0.9255 0.9255 0.3890
0.6477 0.6477 0.8416
0.6153 0.6153 0.5893
```


Here is an optimized crystal structure of PRuCN from the Alexandria database. Energies are from GGA-PBE.

- Symmetry: R3m
- Distance to the lowest polymorph of the same formula: 75 meV/atom

Geometry as POSCAR:
```
PRuCN
1.0
1.4630 0.8447 5.3665
-1.4630 0.8447 5.3665
0.0000 -1.6893 5.3665
P Ru C N
1 1 1 1
Direct
0.0000 0.0000 0.0000
0.7826 0.7826 0.7826
0.2738 0.2738 0.2738
0.1878 0.1878 0.1878
```


Number 1: final energy -8.5905 eV/atom, formation energy from raw total energies -40 meV per atom. Number 2: final energy -8.3856 eV/atom, formation energy from raw total energies 165 meV per atom. Number 3: final energy -8.5001 eV/atom, formation energy from raw total energies 50 meV per atom. Number 4: final energy -8.0876 eV/atom, formation energy from raw total energies 463 meV per atom. Number 5: final energy -8.0514 eV/atom, formation energy from raw total energies 499 meV per atom. Number 6: final energy -7.3144 eV/atom, formation energy from raw total energies -258 meV per atom. Number 7: final energy -8.8866 eV/atom, formation energy from raw total energies -426 meV per atom. Number 8: final energy -8.8607 eV/atom, formation energy from raw total energies -258 meV per atom. Number 9: final energy -6.6034 eV/atom, formation energy from raw total energies 1653 meV per atom. Number 10: final energy -9.6502 eV/atom, formation energy from raw total energies -879 meV per atom. Number 11: final energy -4.6040 eV/atom, formation energy from raw total energies 2691 meV per atom. Number 12: final energy -6.4314 eV/atom, formation energy from raw total energies 1732 meV per atom. Number 13: final energy -7.5459 eV/atom, formation energy from raw total energies 513 meV per atom. Number 14: final energy -7.5416 eV/atom, formation energy from raw total energies 517 meV per atom. Number 15: final energy -7.5943 eV/atom, formation energy from raw total energies 464 meV per atom. Number 16: final energy -7.7452 eV/atom, formation energy from raw total energies 314 meV per atom. Number 17: final energy -7.6567 eV/atom, formation energy from raw total energies 402 meV per atom. Number 18: final energy -7.6247 eV/atom, formation energy from raw total energies 434 meV per atom. Number 19: final energy -7.5536 eV/atom, formation energy from raw total energies 505 meV per atom. Number 20: final energy -7.9193 eV/atom, formation energy from raw total energies 139 meV per atom. Number 21: final energy -7.8721 eV/atom, formation energy from raw total energies 187 meV per atom. Number 22: final energy -7.6263 eV/atom, formation energy from raw total energies 432 meV per atom. Number 23: final energy -7.7790 eV/atom, formation energy from raw total energies 280 meV per atom. Number 24: final energy -7.7857 eV/atom, formation energy from raw total energies 273 meV per atom. Number 25: final energy -7.8370 eV/atom, formation energy from raw total energies 222 meV per atom. Number 26: final energy -7.8443 eV/atom, formation energy from raw total energies 214 meV per atom.